[1]
This record from Alexandria describes crystalline Rb4NiH5 at its relaxed geometry. The functional is GGA-PBE.

Cell: 5.9995 6.9393 6.9393 Å, 79.23 64.39 64.39°
Site moments in Bohr magnetons follow the coordinates.
Fractional coordinates of all 10 atoms:
Rb: 0.3906 0.4014 0.8590  0.02
Rb: 0.7920 0.8590 0.5986  0.02
Rb: 0.2496 0.1410 0.4014  0.02
Rb: 0.6510 0.5986 0.1410  0.02
Ni: 0.0571 0.0000 0.0000  0.12
H: 0.9682 0.2100 0.8708  0.00
H: 0.1781 0.8708 0.7900  0.00
H: 0.8390 0.1292 0.2100  0.00
H: 0.0490 0.7900 0.1292  0.00
H: 0.3357 0.0000 0.0000  0.00

## Properties
* space group: I4
* VASP energy: -26.7 eV/cell
* spin magnetization: 0.093 μB per atom

---

[2]
This record from Alexandria describes crystalline Na2SrCd9 at its relaxed geometry. The functional is GGA-PBE.

Cell: 6.0180 6.0180 10.3534 Å, 73.10 73.10 60.00°
Fractional coordinates of all 12 atoms:
Na: 0.8557 0.8557 0.4328
Na: 0.1443 0.1443 0.5672
Sr: 0.0000 0.0000 0.0000
Cd: 0.6656 0.6656 0.0032
Cd: 0.3344 0.3344 0.9968
Cd: 0.5000 0.5000 0.5000
Cd: 0.4112 0.4112 0.2570
Cd: 0.9207 0.4112 0.2570
Cd: 0.4112 0.9207 0.2570
Cd: 0.5888 0.5888 0.7430
Cd: 0.5888 0.0793 0.7430
Cd: 0.0793 0.5888 0.7430

## Properties
* formation energy: -159 meV per atom
* space group: R-3m
* VASP energy: -14.5 eV/cell
* spin magnetization: 0.000 μB per atom

---

[3]
This record from Alexandria describes crystalline CeGdPd2 at its relaxed geometry. The functional is GGA-PBE.

Cell: 3.4728 5.1018 5.1018 Å, 90.00 90.00 90.00°
Site moments in Bohr magnetons follow the coordinates.
Fractional coordinates of all 4 atoms:
Gd: 0.5000 0.0000 0.0000  7.01
Pd: 0.0000 0.0000 0.5000  0.01
Pd: 0.0000 0.5000 0.0000  0.01
Ce: 0.5000 0.5000 0.5000  -0.74

## Properties
* formation energy: -719 meV per atom
* space group: P4/mmm
* VASP energy: -33.3 eV/cell
* spin magnetization: 1.568 μB per atom

---

[4]
This record from Alexandria describes crystalline SrMoOs2 at its relaxed geometry. The functional is GGA-PBE.

Cell: 6.0198 6.0198 6.0198 Å, 152.88 130.42 57.42°
Fractional coordinates of all 4 atoms:
Mo: 0.2118 0.7118 0.5000
Os: 0.9937 0.9937 0.0000
Os: 0.7895 0.2895 0.5000
Sr: 0.5050 0.5050 0.0000

## Properties
* formation energy: 773 meV per atom
* space group: Imm2
* VASP energy: -31.9 eV/cell
* spin magnetization: 0.000 μB per atom

---

[5]
This record from Alexandria describes crystalline TmHfSi at its relaxed geometry. The functional is GGA-PBE.

Cell: 3.9494 6.5077 5.7037 Å, 77.35 69.74 72.34°
Fractional coordinates of all 6 atoms:
Tm: 0.4233 0.8394 0.3140
Tm: 0.5767 0.1606 0.6860
Si: 0.1323 0.8299 0.9056
Si: 0.8677 0.1701 0.0944
Hf: 0.8294 0.5679 0.7733
Hf: 0.1706 0.4321 0.2267

## Properties
* space group: C2/m
* VASP energy: -43.0 eV/cell
* spin magnetization: 0.000 μB per atom

---

[6]
This record from Alexandria describes crystalline BeCrS2N at its relaxed geometry. The functional is GGA-PBE.

Cell: 4.4673 4.4673 3.1009 Å, 90.00 90.00 90.00°
Site moments in Bohr magnetons follow the coordinates.
Fractional coordinates of all 5 atoms:
Cr: 0.5000 0.5000 0.5000  -0.53
S: 0.0000 0.5000 0.0000  0.10
S: 0.5000 0.0000 0.0000  0.10
Be: 0.0000 0.0000 0.0000  0.01
N: 0.0000 0.0000 0.5000  0.13

## Properties
* space group: P4/mmm
* VASP energy: -26.4 eV/cell
* spin magnetization: 0.028 μB per atom

---

[7]
This record from Alexandria describes crystalline V2InAs2 at its relaxed geometry. The functional is GGA-PBE.

Cell: 4.3625 4.3625 5.6984 Å, 67.49 67.49 90.00°
Site moments in Bohr magnetons follow the coordinates.
Fractional coordinates of all 5 atoms:
As: 0.3693 0.3693 0.2615  -0.02
As: 0.6307 0.6307 0.7385  -0.02
In: 0.0000 0.0000 0.0000  -0.01
V: 0.7500 0.2500 0.5000  0.47
V: 0.2500 0.7500 0.5000  0.47

## Properties
* formation energy: -92 meV per atom
* space group: I4/mmm
* VASP energy: -30.7 eV/cell
* spin magnetization: 0.199 μB per atom

---

Look up the VASP energy of the second one. -14.5 eV/cell

---

What is the spin magnetization in the fifth record? 0.000 μB per atom

---

Look up the spin magnetization of the fifth one. 0.000 μB per atom